Entry from OQMD via LeMat-Bulk: a relaxed structure of Rb2Ta (PBE-GGA).

Geometry as POSCAR:
```
Rb2Ta
1.0
0.000 5.074 5.074
5.074 0.000 5.074
5.074 5.074 0.000
Rb Ta
4 2
direct
0.000 0.000 0.000
0.000 0.000 0.500
0.000 0.500 0.000
0.500 0.000 0.000
0.375 0.375 0.375
0.625 0.625 0.625
```

Computed properties:
Density ... 4.47 g cm⁻³
Final energy ... -2.4754 eV per atom

=====

Entry from OQMD via LeMat-Bulk: a relaxed structure of SmYLu (PBE-GGA).

Geometry as POSCAR:
```
SmYLu
1.0
0.000 3.846 3.846
3.846 0.000 3.846
3.846 3.846 0.000
Sm Y Lu
1 1 1
direct
0.000 0.000 0.000
0.250 0.250 0.250
0.750 0.750 0.750
```

Computed properties:
DFT formation energy ... 0.76 eV/atom
Density ... 6.05 g cm⁻³
Final energy ... -4.4702 eV per atom

=====

Entry from OQMD via LeMat-Bulk: a relaxed structure of HfSbTe2 (PBE-GGA).

Geometry as POSCAR:
```
HfSbTe2
1.0
0.000 3.697 3.697
3.697 0.000 3.697
3.697 3.697 0.000
Hf Sb Te
1 1 2
direct
0.000 0.000 0.000
0.750 0.750 0.750
0.250 0.250 0.250
0.500 0.500 0.500
```

Computed properties:
Density ... 9.12 g cm⁻³
Final energy ... -4.9420 eV per atom

=====

Entry from OQMD via LeMat-Bulk: a relaxed structure of ZnCuSbMo (PBE-GGA).

Geometry as POSCAR:
```
ZnCuSbMo
1.0
0.000 3.201 3.201
3.201 0.000 3.201
3.201 3.201 0.000
Zn Cu Sb Mo
1 1 1 1
direct
0.000 0.000 0.000
0.750 0.750 0.750
0.500 0.500 0.500
0.250 0.250 0.250
```

Computed properties:
Density ... 8.78 g cm⁻³
Final energy ... -4.6007 eV per atom

=====

The highest final energy belongs to which entry?
Rb2Ta